Entry 1:
Crystalline AcY2In at its relaxed geometry, computed with GGA-PBE.

Cell: 3.727 3.727 9.280 Å, 90.00 90.00 90.00°
Space group P4/mmm (No. 123)
Unique sites:
Ac  0.000  0.000  0.000 (multiplicity 1)
Y  0.500  0.500  0.289 (multiplicity 2)
In  0.000  0.000  0.500 (multiplicity 1)

Results
- calculated total energy (eV per cell) = -20.71
- ρ (g/cm³) = 6.69
- ΔE to the lowest computed polymorph (kcal/mol of atoms) = 0.00
- energy of formation (eV per atom) = -0.234

***

Entry 2:
Crystalline AcY2In6 at its relaxed geometry, computed with GGA-PBE.

Cell: 8.7967 8.7967 3.6738 Å, 90.00 90.00 120.00°
Space group P6/mmm (No. 191)
Unique sites:
Ac  0.0000  0.0000  0.0000 (multiplicity 1)
Y  0.3333  0.6667  0.0000 (multiplicity 2)
In  0.0000  0.3387  0.5000 (multiplicity 6)

Results
- calculated total energy (eV per cell) = -37.02
- ρ (g/cm³) = 7.38
- energy of formation (eV per atom) = -0.394

***

Entry 3:
Crystalline AcYIn at its relaxed geometry, computed with GGA-PBE.

Cell: 3.776 3.776 14.138 Å, 90.00 90.00 90.00°
Space group I4mm (No. 107)
Unique sites:
Ac  0.000  0.000  0.000 (multiplicity 2)
Y  0.000  0.000  0.698 (multiplicity 2)
In  0.000  0.000  0.330 (multiplicity 2)

Results
- calculated total energy (eV per cell) = -28.24
- ρ (g/cm³) = 7.10
- ΔE to the lowest computed polymorph (kcal/mol of atoms) = 1.30
- energy of formation (eV per atom) = -0.270

***

Entry 4:
Crystalline Ac2Y3In4 at its relaxed geometry, computed with GGA-PBE.

Cell: 7.238 17.363 9.239 Å, 90.00 90.00 90.00°
Space group Cmce (No. 64)
Unique sites:
Ac  0.000  0.110  0.079 (multiplicity 8)
Y  0.000  0.000  0.500 (multiplicity 4)
Y  0.250  0.217  0.750 (multiplicity 8)
In  0.000  0.183  0.460 (multiplicity 8)
In  0.250  0.040  0.750 (multiplicity 8)

Results
- calculated total energy (eV per cell) = -166.95
- ρ (g/cm³) = 6.75
- energy of formation (eV per atom) = -0.353

***

Entry 5:
Crystalline AcY5In6 at its relaxed geometry, computed with GGA-PBE.

Cell: 5.434 7.574 16.307 Å, 90.00 90.00 90.00°
Space group Immm (No. 71)
Unique sites:
Ac  0.000  0.000  0.000 (multiplicity 2)
Y  0.000  0.000  0.330 (multiplicity 4)
Y  0.000  0.500  0.000 (multiplicity 2)
Y  0.000  0.500  0.340 (multiplicity 4)
In  0.000  0.226  0.500 (multiplicity 4)
In  0.000  0.262  0.173 (multiplicity 8)

Results
- calculated total energy (eV per cell) = -116.91
- ρ (g/cm³) = 6.73
- energy of formation (eV per atom) = -0.466

***

Entry 6:
Crystalline AcYIn at its relaxed geometry, computed with GGA-PBE.

Cell: 4.970 4.970 8.492 Å, 90.00 90.00 90.00°
Space group P4/nmm (No. 129, origin choice 2)
Unique sites:
Ac  0.250  0.250  0.148 (multiplicity 2)
Y  0.250  0.750  0.500 (multiplicity 2)
In  0.250  0.250  0.743 (multiplicity 2)

Results
- calculated total energy (eV per cell) = -28.58
- ρ (g/cm³) = 6.82
- ΔE to the lowest computed polymorph (kcal/mol of atoms) = 0.00
- energy of formation (eV per atom) = -0.326

***

Entry 7:
Crystalline Ac3YIn3 at its relaxed geometry, computed with GGA-PBE.

Cell: 10.080 12.321 8.355 Å, 90.00 92.34 90.00°
Space group C2/m (No. 12)
Unique sites:
Ac  0.000  0.155  0.000 (multiplicity 4)
Ac  0.000  0.258  0.500 (multiplicity 4)
Ac  0.150  0.500  0.848 (multiplicity 4)
Y  0.229  0.500  0.363 (multiplicity 4)
In  0.063  0.000  0.337 (multiplicity 4)
In  0.238  0.277  0.207 (multiplicity 8)

Results
- calculated total energy (eV per cell) = -113.95
- ρ (g/cm³) = 7.14
- energy of formation (eV per atom) = -0.212

***

Entry 8:
Crystalline Ac3YIn2 at its relaxed geometry, computed with GGA-PBE.

Cell: 4.939 5.114 17.722 Å, 90.00 90.00 90.00°
Space group Immm (No. 71)
Unique sites:
Ac  0.000  0.000  0.000 (multiplicity 2)
Ac  0.000  0.500  0.322 (multiplicity 4)
Y  0.000  0.000  0.500 (multiplicity 2)
In  0.000  0.500  0.130 (multiplicity 4)

Results
- calculated total energy (eV per cell) = -51.75
- ρ (g/cm³) = 7.42
- energy of formation (eV per atom) = -0.268

***

Entry 9:
Crystalline Ac6YIn5 at its relaxed geometry, computed with GGA-PBE.

Cell: 5.518 8.997 8.981 Å, 90.00 107.93 90.00°
Space group P2/m (No. 10)
Unique sites:
Ac  0.000  0.225  0.000 (multiplicity 2)
Ac  0.326  0.252  0.654 (multiplicity 4)
Y  0.500  0.500  0.000 (multiplicity 1)
In  0.143  0.500  0.283 (multiplicity 2)
In  0.175  0.000  0.345 (multiplicity 2)
In  0.500  0.000  0.000 (multiplicity 1)

Results
- calculated total energy (eV per cell) = -48.64
- ρ (g/cm³) = 7.93
- energy of formation (eV per atom) = -0.320

***

Entry 10:
Crystalline AcY2In at its relaxed geometry, computed with GGA-PBE.

Cell: 5.2531 5.2531 17.9194 Å, 90.00 90.00 120.00°
Space group R3m (No. 160, hexagonal axes)
Unique sites:
Ac  0.0000  0.0000  0.0000 (multiplicity 3)
Y  0.0000  0.0000  0.5518 (multiplicity 3)
Y  0.0000  0.0000  0.7856 (multiplicity 3)
In  0.0000  0.0000  0.2000 (multiplicity 3)

Results
- calculated total energy (eV per cell) = -59.88
- ρ (g/cm³) = 6.04
- ΔE to the lowest computed polymorph (kcal/mol of atoms) = 4.32
- energy of formation (eV per atom) = -0.046

***

Entry 11:
Crystalline Ac2YIn2 at its relaxed geometry, computed with GGA-PBE.

Cell: 5.052 7.060 9.915 Å, 90.00 90.00 90.00°
Space group Immm (No. 71)
Unique sites:
Ac  0.000  0.000  0.198 (multiplicity 4)
Y  0.000  0.500  0.000 (multiplicity 2)
In  0.000  0.280  0.500 (multiplicity 4)

Results
- calculated total energy (eV per cell) = -43.85
- ρ (g/cm³) = 7.26
- energy of formation (eV per atom) = -0.354

***

Entry 12:
Crystalline AcYIn at its relaxed geometry, computed with GGA-PBE.

Cell: 5.4616 5.4616 3.9897 Å, 90.00 90.00 120.00°
Space group P3m1 (No. 156)
Unique sites:
Ac  0.0000  0.0000  0.0000 (multiplicity 1)
Y  0.6667  0.3333  0.5013 (multiplicity 1)
In  0.3333  0.6667  0.4972 (multiplicity 1)

Results
- calculated total energy (eV per cell) = -13.97
- ρ (g/cm³) = 6.94
- ΔE to the lowest computed polymorph (kcal/mol of atoms) = 2.44
- energy of formation (eV per atom) = -0.220